An optimized crystal structure of Na2Tl7In. Source: the Alexandria database, functional PBE-GGA.

## Properties
The calculation puts the energy relative to the elements at 11 meV per atom. For the final energy, the calculation gives -2.18 eV per atom. As for the excess energy over the best structure of this formula in the dataset: 0.0000 eV per atom.

```
Na2Tl7In
1.0
-2.0316 1.9442 -4.5346
2.5289 -4.6983 -0.0082
-11.0299 -5.9412 2.3944
Na Tl In
2 7 1
Direct
0.6667 0.3333 0.2389 Na
0.3333 0.6667 0.6479 Na
0.0000 0.0000 0.3376 Tl
0.3333 0.6667 0.1455 Tl
0.6667 0.3333 0.5228 Tl
0.6667 0.3333 0.9580 Tl
0.3333 0.6667 0.8910 Tl
0.0000 0.0000 0.7774 Tl
0.3333 0.6667 0.4077 Tl
0.0000 0.0000 0.0566 In
```

=====

An optimized crystal structure of Tl2H6Pt. Source: the Alexandria database, functional PBE-GGA.

## Properties
For the final energy, the calculation gives -3.44 eV per atom.

```
Tl2H6Pt
1.0
-4.4567 2.8202 2.3845
-3.7143 -2.8291 3.4207
-0.0524 1.0380 5.6967
Tl H Pt
2 6 1
Direct
0.7500 0.7500 0.7502 Tl
0.2500 0.2500 0.2498 Tl
0.7024 0.2974 0.7027 H
0.2974 0.2974 0.7021 H
0.7026 0.7026 0.2979 H
0.7026 0.2976 0.2973 H
0.2976 0.7026 0.2973 H
0.2974 0.7024 0.7027 H
0.5000 0.5000 0.5000 Pt
```

=====

An optimized crystal structure of K3Li2ZnF8. Source: the Alexandria database, functional PBE-GGA.

## Properties
For the final energy, the calculation gives -4.20 eV per atom. For the uncorrected formation energy, the calculation gives -2.535 eV/atom.

```
K3Li2ZnF8
1.0
-3.5075 -4.1638 -1.8647
3.6677 -1.0430 4.3101
-5.1799 2.1558 4.9296
F K Zn Li
8 3 1 2
Direct
0.3241 0.1621 0.6608 F
0.1621 0.8379 0.3392 F
0.3333 0.6667 0.9911 F
0.8379 0.1621 0.6608 F
0.6667 0.3333 0.0089 F
0.8379 0.6759 0.6608 F
0.6759 0.8379 0.3392 F
0.1621 0.3241 0.3392 F
0.0000 0.0000 0.0000 K
0.6667 0.3333 0.3482 K
0.3333 0.6667 0.6518 K
0.0000 0.0000 0.5000 Zn
0.3333 0.6667 0.2323 Li
0.6667 0.3333 0.7677 Li
```